# 1
Material: CaB2F8
Method: DFT, PBEsol
State: optimized geometry

Cell: 8.8868 9.2537 13.2893 Å, 90.00 90.00 90.00°
With the nearest neighbours (Å) after each atom.
Fractional coordinates of all 88 atoms:
F 0.7540 0.5122 0.7760  1 B 1.41
F 0.5940 0.3167 0.9915  1 B 1.42
F 0.7540 0.0122 0.7240  1 B 1.41
F 0.7208 0.0745 0.5576  1 B 1.41
F 0.7156 0.2494 0.6804  1 B 1.41
F 0.5862 0.8582 0.9873  1 B 1.41
F 0.2792 0.9255 0.4424  1 B 1.41
F 0.4789 0.4154 0.1680  1 B 1.41
F 0.2540 0.4878 0.7240  1 B 1.41
F 0.8981 0.6967 0.6198  1 B 1.40
F 0.2844 0.2506 0.1804  1 B 1.41
F 0.4138 0.1418 0.0127  1 B 1.41
F 0.0211 0.9154 0.8320  1 B 1.41
F 0.6019 0.1967 0.3802  1 B 1.40
F 0.9202 0.6256 0.1188  1 B 1.41
F 0.2540 0.9878 0.7760  1 B 1.41
F 0.9202 0.1256 0.3812  1 B 1.41
F 0.3981 0.3033 0.8802  1 B 1.40
F 0.5940 0.8167 0.5085  1 B 1.42
F 0.7208 0.5745 0.9424  1 B 1.41
F 0.0940 0.1833 0.9915  1 B 1.42
F 0.4202 0.8744 0.1188  1 B 1.41
F 0.8981 0.1967 0.8802  1 B 1.40
F 0.4060 0.1833 0.4915  1 B 1.42
F 0.0798 0.8744 0.6188  1 B 1.41
F 0.9789 0.0846 0.1680  1 B 1.41
F 0.7844 0.7494 0.3196  1 B 1.41
F 0.1019 0.8033 0.1198  1 B 1.40
F 0.9138 0.3582 0.0127  1 B 1.41
F 0.4789 0.9154 0.3320  1 B 1.41
F 0.2208 0.9255 0.9424  1 B 1.41
F 0.2208 0.4255 0.5576  1 B 1.41
F 0.9060 0.8167 0.0085  1 B 1.42
F 0.7844 0.2494 0.1804  1 B 1.41
F 0.2156 0.2506 0.6804  1 B 1.41
F 0.5798 0.1256 0.8812  1 B 1.41
F 0.7460 0.5122 0.2760  1 B 1.41
F 0.5211 0.0846 0.6680  1 B 1.41
F 0.4138 0.6418 0.4873  1 B 1.41
F 0.4060 0.6833 0.0085  1 B 1.42
F 0.9789 0.5846 0.3320  1 B 1.41
F 0.4202 0.3744 0.3812  1 B 1.41
F 0.7792 0.0745 0.0576  1 B 1.41
F 0.9138 0.8582 0.4873  1 B 1.41
F 0.2156 0.7506 0.8196  1 B 1.41
F 0.5211 0.5846 0.8320  1 B 1.41
F 0.0211 0.4154 0.6680  1 B 1.41
F 0.0940 0.6833 0.5085  1 B 1.42
F 0.7460 0.0122 0.2240  1 B 1.41
F 0.6019 0.6967 0.1198  1 B 1.40
F 0.5862 0.3582 0.5127  1 B 1.41
F 0.1019 0.3033 0.3802  1 B 1.40
F 0.0862 0.6418 0.9873  1 B 1.41
F 0.9060 0.3167 0.4915  1 B 1.42
F 0.7156 0.7494 0.8196  1 B 1.41
F 0.7792 0.5745 0.4424  1 B 1.41
F 0.5798 0.6256 0.6188  1 B 1.41
F 0.2460 0.9878 0.2760  1 B 1.41
F 0.2844 0.7506 0.3196  1 B 1.41
F 0.3981 0.8033 0.6198  1 B 1.40
F 0.2792 0.4255 0.0576  1 B 1.41
F 0.0798 0.3744 0.8812  1 B 1.41
F 0.0862 0.1418 0.5127  1 B 1.41
F 0.2460 0.4878 0.2240  1 B 1.41
B 0.5047 0.2787 0.4409  4 F 1.40-1.42
B 0.3224 0.8949 0.3425  4 F 1.41
B 0.0047 0.7213 0.0591  4 F 1.40-1.42
B 0.4953 0.2213 0.9409  4 F 1.40-1.42
B 0.4953 0.7213 0.5591  4 F 1.40-1.42
B 0.3224 0.3949 0.1575  4 F 1.41
B 0.6776 0.6051 0.8425  4 F 1.41
B 0.5047 0.7787 0.0591  4 F 1.40-1.42
B 0.0047 0.2213 0.4409  4 F 1.40-1.42
B 0.6776 0.1051 0.6575  4 F 1.41
B 0.8224 0.6051 0.3425  4 F 1.41
B 0.1776 0.3949 0.6575  4 F 1.41
B 0.9953 0.7787 0.5591  4 F 1.40-1.42
B 0.8224 0.1051 0.1575  4 F 1.41
B 0.9953 0.2787 0.9409  4 F 1.40-1.42
B 0.1776 0.8949 0.8425  4 F 1.41
Ca 0.7182 0.4673 0.1041  8 F 2.32-2.37
Ca 0.2182 0.5327 0.3959  8 F 2.32-2.37
Ca 0.2818 0.0327 0.6041  8 F 2.32-2.37
Ca 0.7182 0.9673 0.3959  8 F 2.32-2.37
Ca 0.7818 0.9673 0.8959  8 F 2.32-2.37
Ca 0.2182 0.0327 0.1041  8 F 2.32-2.37
Ca 0.2818 0.5327 0.8959  8 F 2.32-2.37
Ca 0.7818 0.4673 0.6041  8 F 2.32-2.37

Properties
The density of states at the Fermi level comes out at 0.0000 states/eV per atom. The formation energy from raw total energies comes out at -313.01 kJ per mole of atoms.

=====

# 2
Material: ZrSi2Rh
Method: DFT, PBEsol
State: optimized geometry

Cell: 3.1207 4.5950 4.7428 Å, 103.92 90.00 109.85°
With the nearest neighbours (Å) after each atom.
Fractional coordinates of all 4 atoms:
Si 0.2618 0.5236 0.7953  2 Rh 2.41, 2 Si 2.58
Si 0.0008 0.0016 0.0127  3 Rh 2.51-2.59, 3 Si 2.58-2.71, 2 Zr 2.79
Zr 0.5033 0.0067 0.5252  7 Si 2.71-2.88, 3 Rh 2.93-2.95
Rh 0.7340 0.4681 0.1667  5 Si 2.41-2.59

Properties
The density of states at the Fermi level comes out at 0.5136 states/eV per atom. The formation energy from raw total energies comes out at -61.42 kJ per mole of atoms.

=====

The lowest formation energy from raw total energies belongs to which entry?
CaB2F8